Entry 1:
Compound: Li8Sn2Pb3
Source: Alexandria via LeMat-Bulk
Functional: GGA-PBE
Structure: optimized geometry

Calculated values
DOS at the Fermi energy ... 14.6 states/eV per cell
Energy of formation from the pure elements ... -2.474 eV per formula unit

Unit cell a=5.7187 b=5.7187 c=30.2867 alpha=90.00 beta=90.00 gamma=120.00
Space group R-3m (No. 166, hexagonal axes)
Inequivalent atoms, fractional coordinates:
Li  0.0000  0.0000  0.2239 [6 per cell]
Li  0.0011  0.5005  0.2736 [18 per cell]
Sn  0.0000  0.0000  0.1354 [6 per cell]
Pb  0.0000  0.0000  0.3162 [6 per cell]
Pb  0.0000  0.0000  0.5000 [3 per cell]



Entry 2:
Compound: YMo3
Source: Alexandria via LeMat-Bulk
Functional: GGA-PBE
Structure: optimized geometry

Calculated values
DOS at the Fermi energy ... 4.4 states/eV per cell
Energy of formation from the pure elements ... 1.434 eV per formula unit

Unit cell a=3.0018 b=4.3510 c=5.9123 alpha=90.00 beta=102.19 gamma=90.00
Space group P2/m (No. 10)
Inequivalent atoms, fractional coordinates:
Y  0.0000  0.0000  0.0000 [1 per cell]
Mo  0.2661  0.5000  0.7008 [2 per cell]
Mo  0.5000  0.0000  0.5000 [1 per cell]



Entry 3:
Compound: LiYPb
Source: Alexandria via LeMat-Bulk
Functional: GGA-PBE
Structure: optimized geometry

Calculated values
DOS at the Fermi energy ... 2.7 states/eV per cell
Energy of formation from the pure elements ... -0.773 eV per formula unit

Unit cell a=3.5334 b=4.7568 c=9.2012 alpha=90.00 beta=90.00 gamma=90.00
Space group Imm2 (No. 44)
Inequivalent atoms, fractional coordinates:
Li  0.0000  0.0000  0.0000 [2 per cell]
Y  0.0000  0.0000  0.3346 [2 per cell]
Pb  0.0000  0.0000  0.6740 [2 per cell]



Entry 4:
Compound: Ge2Bi2Se7
Source: Alexandria via LeMat-Bulk
Functional: GGA-PBE
Structure: optimized geometry

Calculated values
Energy relative to the elements, uncorrected ... -109 meV/atom
DOS at the Fermi energy ... 2.1 states/eV per cell

Unit cell a=9.6727 b=11.4499 c=6.3699 alpha=90.00 beta=100.76 gamma=90.00
Space group C2/m (No. 12)
Inequivalent atoms, fractional coordinates:
Ge  0.2318  0.0000  0.4098 [4 per cell]
Bi  0.0000  0.3008  0.0000 [4 per cell]
Se  0.0000  0.0000  0.5000 [2 per cell]
Se  0.0871  0.5000  0.2683 [4 per cell]
Se  0.2377  0.3182  0.7621 [8 per cell]